No. 1
A plane-wave DFT calculation with PBE was carried out for a relaxed structure of K6RbNa2.

Output
The total magnetization is 0.0 μB per formula unit. The calculation puts the theoretical density at 1034 kg/m3. The excess energy over the best structure of this formula in the dataset is 0.02 eV/f.u. The value obtained for the calculated total energy is -39.89 eV/cell. The energy of formation from the pure elements is 0.218 eV per formula unit.

Cell: 20.968 14.889 7.584 Å, 90.00 96.85 90.00°
Space group C2/c (No. 15)
Unique sites:
K1 0.058 0.114 0.033
K2 0.128 0.362 0.308
K3 0.238 0.381 0.842
Rb1 0.000 0.377 0.750
Na1 0.159 0.132 0.606

***

No. 2
A plane-wave DFT calculation with PBE was carried out for a relaxed structure of Ac2Pt2Au3.

Output
The total magnetization is 0.0 μB per formula unit. The calculation puts the theoretical density at 13561 kg/m3. The excess energy over the best structure of this formula in the dataset is 0.00 eV/f.u. The value obtained for the calculated total energy is -71.39 eV/cell. The energy of formation from the pure elements is -5.564 eV per formula unit.

Cell: 11.020 4.441 7.237 Å, 90.00 97.11 90.00°
Space group C2/m (No. 12)
Unique sites:
Ac1 0.143 0.000 0.203
Pt1 0.078 0.500 0.876
Au1 0.000 0.500 0.500
Au2 0.141 0.000 0.674